No. 1
# Cs3Mg2AgI9 | Alexandria via LeMat-Bulk | PBE-GGA | relaxed
# **Raw formation energy**: -1.012 eV/atom
data_Cs3Mg2AgI9
_cell_length_a 8.3361
_cell_length_b 8.3361
_cell_length_c 10.4095
_cell_angle_alpha 90.00
_cell_angle_beta 90.00
_cell_angle_gamma 120.00
_space_group_name_H-M_alt 'P -3 m 1'
_space_group_IT_number 164
_space_group_name_Hall '-P 3 2"'
loop_
_atom_site_label
_atom_site_fract_x
_atom_site_fract_y
_atom_site_fract_z
Cs1 0.0000 0.0000 0.0000
Cs2 0.3333 0.6667 0.6637
Mg1 0.3333 0.6667 0.1647
Ag1 0.0000 0.0000 0.5000
I1 0.0000 0.5000 0.0000
I2 0.1697 0.3395 0.3321

No. 2
# Mo2RhAu | Alexandria via LeMat-Bulk | PBE-GGA | relaxed
# **E_form**: 0.079 eV/atom
data_Mo2RhAu
_cell_length_a 5.4787
_cell_length_b 8.2778
_cell_length_c 2.7627
_cell_angle_alpha 90.00
_cell_angle_beta 90.00
_cell_angle_gamma 90.00
_space_group_name_H-M_alt 'C m m m'
_space_group_IT_number 65
_space_group_name_Hall '-C 2 2'
loop_
_atom_site_label
_atom_site_fract_x
_atom_site_fract_y
_atom_site_fract_z
Mo1 0.2500 0.2500 0.0000
Rh1 0.0000 0.0000 0.5000
Au1 0.0000 0.5000 0.5000

No. 3
# Hg2RuPb | Alexandria via LeMat-Bulk | PBE-GGA | relaxed
# **E_form**: 0.407 eV/atom
data_Hg2RuPb
_cell_length_a 3.6143
_cell_length_b 4.2042
_cell_length_c 6.0661
_cell_angle_alpha 90.00
_cell_angle_beta 106.79
_cell_angle_gamma 90.00
_space_group_name_H-M_alt 'P 1 m 1'
_space_group_IT_number 6
_space_group_name_Hall 'P -2y'
loop_
_atom_site_label
_atom_site_fract_x
_atom_site_fract_y
_atom_site_fract_z
Hg1 0.0000 0.0000 0.0000
Hg2 0.4081 0.5000 0.8151
Ru1 0.2428 0.0000 0.4931
Pb1 0.6795 0.5000 0.3583

No. 4
# RhBrO2F | Alexandria via LeMat-Bulk | PBE-GGA | relaxed
# **Raw formation energy**: -0.113 eV/atom
data_RhBrO2F
_cell_length_a 3.9544
_cell_length_b 3.9544
_cell_length_c 4.1719
_cell_angle_alpha 90.00
_cell_angle_beta 90.00
_cell_angle_gamma 90.00
_space_group_name_H-M_alt 'P 4/m m m'
_space_group_IT_number 123
_space_group_name_Hall '-P 4 2'
loop_
_atom_site_label
_atom_site_fract_x
_atom_site_fract_y
_atom_site_fract_z
Rh1 0.0000 0.0000 0.0000
Br1 0.5000 0.5000 0.5000
O1 0.0000 0.5000 0.0000
F1 0.0000 0.0000 0.5000

No. 5
# Nd3IrI7 | Alexandria via LeMat-Bulk | PBE-GGA | relaxed
# **Raw formation energy**: -1.020 eV/atom
data_Nd3IrI7
_cell_length_a 9.2358
_cell_length_b 9.2358
_cell_length_c 5.9405
_cell_angle_alpha 90.00
_cell_angle_beta 90.00
_cell_angle_gamma 120.00
_space_group_name_H-M_alt 'P 3 m 1'
_space_group_IT_number 156
_space_group_name_Hall 'P 3 -2"'
loop_
_atom_site_label
_atom_site_fract_x
_atom_site_fract_y
_atom_site_fract_z
Nd1 0.0408 0.5204 0.0000
Ir1 0.3333 0.6667 0.2734
I1 0.1914 0.3828 0.6247
I2 0.2989 0.1495 0.1744
I3 0.6667 0.3333 0.7089

No. 6
# Ac7In3Pb | Alexandria via LeMat-Bulk | PBE-GGA | relaxed
# **E_form**: -0.221 eV/atom
data_Ac7In3Pb
_cell_length_a 12.3324
_cell_length_b 12.6284
_cell_length_c 6.4217
_cell_angle_alpha 90.00
_cell_angle_beta 121.29
_cell_angle_gamma 90.00
_space_group_name_H-M_alt 'C 1 2/m 1'
_space_group_IT_number 12
_space_group_name_Hall '-C 2y'
loop_
_atom_site_label
_atom_site_fract_x
_atom_site_fract_y
_atom_site_fract_z
Ac1 0.0000 0.0000 0.0000
Ac2 0.1674 0.2705 0.6676
Ac3 0.1769 0.5000 0.1764
In1 0.0000 0.2674 0.0000
In2 0.0000 0.5000 0.5000
Pb1 0.0000 0.0000 0.5000

No. 7
# CaYCd | Alexandria via LeMat-Bulk | PBE-GGA | relaxed
# **E_form**: -0.183 eV/atom
data_CaYCd
_cell_length_a 3.7720
_cell_length_b 3.7720
_cell_length_c 13.0143
_cell_angle_alpha 90.00
_cell_angle_beta 90.00
_cell_angle_gamma 90.00
_space_group_name_H-M_alt 'I 4 m m'
_space_group_IT_number 107
_space_group_name_Hall 'I 4 -2'
loop_
_atom_site_label
_atom_site_fract_x
_atom_site_fract_y
_atom_site_fract_z
Ca1 0.0000 0.0000 0.0000
Y1 0.0000 0.0000 0.7131
Cd1 0.0000 0.0000 0.3475

No. 8
# La8POs3Cl4 | Alexandria via LeMat-Bulk | PBE-GGA | relaxed
# **Raw formation energy**: -1.114 eV/atom
data_La8POs3Cl4
_cell_length_a 8.4201
_cell_length_b 8.4201
_cell_length_c 22.5376
_cell_angle_alpha 90.00
_cell_angle_beta 90.00
_cell_angle_gamma 120.00
_space_group_name_H-M_alt 'R -3 m'
_space_group_IT_number 166
_space_group_name_Hall '-R 3 2"'
loop_
_atom_site_label
_atom_site_fract_x
_atom_site_fract_y
_atom_site_fract_z
La1 0.0000 0.0000 0.2381
La2 0.0117 0.5059 0.7657
P1 0.0000 0.0000 0.5000
Os1 0.0000 0.5000 0.5000
Cl1 0.0000 0.0000 0.0000
Cl2 0.0000 0.5000 0.0000

No. 9
# La2Tb | Alexandria via LeMat-Bulk | PBE-GGA | relaxed
# **E_form**: 0.028 eV/atom
data_La2Tb
_cell_length_a 3.6794
_cell_length_b 3.6794
_cell_length_c 27.2028
_cell_angle_alpha 90.00
_cell_angle_beta 90.00
_cell_angle_gamma 120.00
_space_group_name_H-M_alt 'R -3 m'
_space_group_IT_number 166
_space_group_name_Hall '-R 3 2"'
loop_
_atom_site_label
_atom_site_fract_x
_atom_site_fract_y
_atom_site_fract_z
La1 0.0000 0.0000 0.2251
Tb1 0.0000 0.0000 0.0000

No. 10
# BaGe3Mo | Alexandria via LeMat-Bulk | PBE-GGA | relaxed
# **E_form**: 2.332 eV/atom
data_BaGe3Mo
_cell_length_a 5.4606
_cell_length_b 5.4606
_cell_length_c 5.4606
_cell_angle_alpha 90.00
_cell_angle_beta 90.00
_cell_angle_gamma 90.00
_space_group_name_H-M_alt 'P m -3 m'
_space_group_IT_number 221
_space_group_name_Hall '-P 4 2 3'
loop_
_atom_site_label
_atom_site_fract_x
_atom_site_fract_y
_atom_site_fract_z
Ba1 0.0000 0.0000 0.0000
Ge1 0.0000 0.0000 0.5000
Mo1 0.5000 0.5000 0.5000

No. 11
# Cs2Sn2S5 | Alexandria via LeMat-Bulk | PBE-GGA | relaxed
# **Raw formation energy**: -0.716 eV/atom
data_Cs2Sn2S5
_cell_length_a 23.1659
_cell_length_b 9.3905
_cell_length_c 6.7159
_cell_angle_alpha 90.00
_cell_angle_beta 102.90
_cell_angle_gamma 90.00
_space_group_name_H-M_alt 'C 1 c 1'
_space_group_IT_number 9
_space_group_name_Hall 'C -2yc'
loop_
_atom_site_label
_atom_site_fract_x
_atom_site_fract_y
_atom_site_fract_z
Cs1 0.0000 0.1260 0.0000
Cs2 0.2671 0.2052 0.2023
Sn1 0.1331 0.3743 0.5237
Sn2 0.4388 0.1411 0.9544
S1 0.0395 0.2538 0.5459
S2 0.1255 0.3820 0.1459
S3 0.2109 0.2245 0.6633
S4 0.3895 0.3427 0.0271
S5 0.4124 0.0907 0.5809

No. 12
# Pm5Si4Ge | Alexandria via LeMat-Bulk | PBE-GGA | relaxed
# **Raw formation energy**: -0.480 eV/atom
data_Pm5Si4Ge
_cell_length_a 3.3856
_cell_length_b 3.3856
_cell_length_c 20.5158
_cell_angle_alpha 90.00
_cell_angle_beta 90.00
_cell_angle_gamma 90.00
_space_group_name_H-M_alt 'P 4/m m m'
_space_group_IT_number 123
_space_group_name_Hall '-P 4 2'
loop_
_atom_site_label
_atom_site_fract_x
_atom_site_fract_y
_atom_site_fract_z
Pm1 0.0000 0.0000 0.0000
Pm2 0.0000 0.0000 0.1987
Pm3 0.0000 0.0000 0.3968
Si1 0.5000 0.5000 0.0995
Si2 0.5000 0.5000 0.2986
Ge1 0.5000 0.5000 0.5000